Compound: PuMnPd14
Source: the Alexandria database
Functional: GGA-PBE
Structure: optimized geometry

- Energy of formation from the pure elements: -192.0 meV per atom
- Total moment: 8.5 μB/f.u.
- Theoretical density: 11.7 g/cm³

Cell lengths 5.6886, 5.6886, 7.8638 Å; angles 90.00, 90.00, 90.00 degrees
Last column: magnetic moment on the atom in μB.
Fractional coordinates of all 16 atoms:
Pd (0.3750, 0.8750, 0.0000)  -0.03
Pd (0.6280, 0.1220, 0.7507)  -0.02
Pd (0.8750, 0.3750, 0.0000)  -0.03
Pd (0.1221, 0.1221, 0.7507)  -0.02
Pd (0.6279, 0.6279, 0.7507)  -0.02
Mn (0.8750, 0.8750, 0.5000)  3.97
Pd (0.6280, 0.1220, 0.2493)  -0.02
Pd (0.3750, 0.3750, 0.0000)  -0.02
Pd (0.1220, 0.6280, 0.2493)  -0.02
Pd (0.8750, 0.3750, 0.5000)  0.02
Pd (0.1221, 0.1221, 0.2493)  -0.02
Pd (0.1220, 0.6280, 0.7507)  -0.02
Pd (0.6279, 0.6279, 0.2493)  -0.02
Pd (0.8750, 0.8750, 0.0000)  -0.01
Pu (0.3750, 0.3750, 0.5000)  4.46
Pd (0.3750, 0.8750, 0.5000)  0.02



Compound: KH3Br
Source: the Alexandria database
Functional: GGA-PBE
Structure: optimized geometry

- Final energy: -1.71 eV/atom
- Total moment: 3.0 μB/f.u.
- Theoretical density: 1.8 g/cm³

Cell lengths 4.7875, 4.7875, 4.7875 Å; angles 90.00, 90.00, 90.00 degrees
Last column: magnetic moment on the atom in μB.
Fractional coordinates of all 5 atoms:
K (0.0000, 0.0000, 0.0000)  0.08
H (0.0000, 0.5000, 0.0000)  0.36
Br (0.5000, 0.5000, 0.5000)  0.32
H (0.0000, 0.0000, 0.5000)  0.35
H (0.5000, 0.0000, 0.0000)  0.36



Compound: CsDyHgF6
Source: the Alexandria database
Functional: GGA-PBE
Structure: optimized geometry

- Total moment: 0.0 μB/f.u.
- Theoretical density: 5.0 g/cm³
- Formation energy from raw total energies: -2.92 eV/atom

Cell lengths 8.4747, 7.9419, 8.3217 Å; angles 118.50, 120.61, 90.00 degrees
Fractional coordinates of all 18 atoms:
F (0.5840, 0.3219, 0.7441)
F (0.5900, 0.3400, 0.1801)
Dy (0.5000, 0.0000, 0.5000)
F (0.2025, 0.9525, 0.4049)
F (0.4160, 0.0778, 0.2559)
F (0.4100, 0.6600, 0.8199)
Cs (0.8460, 0.5960, 0.6920)
Cs (0.1540, 0.4040, 0.3080)
Hg (0.5000, 0.5000, 0.0000)
Hg (0.5000, 0.0000, 0.0000)
F (0.1602, 0.3219, 0.7441)
F (0.8398, 0.0778, 0.2559)
F (0.7975, 0.0475, 0.5951)
Dy (0.0000, 0.0000, 0.5000)
F (0.8398, 0.6781, 0.2559)
F (0.5840, 0.9222, 0.7441)
F (0.4160, 0.6781, 0.2559)
F (0.1602, 0.9222, 0.7441)